4
Lattice="0.000 3.653 3.653 3.653 0.000 3.653 3.653 3.653 0.000" Properties=species:S:1:pos:R:3 comment="LuPuAlSn, relaxed, DFT PBE-GGA" delta_e_f_ev_per_atom=-0.296 crystal_system=cubic pbc="T T T"
Lu 0.000 0.000 0.000
Pu 3.653 3.653 3.653
Al 5.480 5.480 5.480
Sn 1.827 1.827 1.827



4
Lattice="0.000 3.524 3.524 3.524 0.000 3.524 3.524 3.524 0.000" Properties=species:S:1:pos:R:3 comment="LuPuTiAl, relaxed, DFT PBE-GGA" delta_e_f_ev_per_atom=0.038 crystal_system=cubic pbc="T T T"
Lu 0.000 0.000 0.000
Pu 3.524 3.524 3.524
Ti 5.286 5.286 5.286
Al 1.762 1.762 1.762